(1)
Density functional theory data (GGA-PBE) for a geometry-optimized MgPNO2 structure.

Cell: 4.139 4.139 3.347 Å, 90.00 90.00 90.00°
Space group P4/mmm (No. 123)
One atom of each set of equivalent atoms:
Mg 0.000 0.000 0.000 (multiplicity 1)
P 0.500 0.500 0.000 (multiplicity 1)
N 0.500 0.500 0.500 (multiplicity 1)
O 0.000 0.500 0.500 (multiplicity 2)

The value obtained for the formation energy without anion corrections is 463 meV/atom. Its mass density is 2.93 g cm⁻³.

(2)
Density functional theory data (GGA-PBE) for a geometry-optimized MgP3NO9 structure.

Cell: 6.8498 6.8498 9.9887 Å, 90.00 90.00 120.00°
Space group P-6c2 (No. 188)
One atom of each set of equivalent atoms:
Mg 0.0000 0.0000 0.0000 (multiplicity 2)
P 0.3862 0.1250 0.2500 (multiplicity 6)
N 0.3333 0.6667 0.0000 (multiplicity 2)
O 0.2593 0.0292 0.1223 (multiplicity 12)
O 0.4917 0.0967 0.7500 (multiplicity 6)

The value obtained for the formation energy without anion corrections is -1599 meV/atom. The energy above the lowest structure with this stoichiometry is 0 meV per atom. Its mass density is 2.25 g cm⁻³.

(3)
Density functional theory data (GGA-PBE) for a geometry-optimized MgPNO2 structure.

Cell: 3.779 3.779 4.159 Å, 90.00 90.00 90.00°
Space group P4/mmm (No. 123)
One atom of each set of equivalent atoms:
Mg 0.000 0.000 0.000 (multiplicity 1)
P 0.500 0.500 0.500 (multiplicity 1)
N 0.000 0.000 0.500 (multiplicity 1)
O 0.000 0.500 0.000 (multiplicity 2)

The value obtained for the formation energy without anion corrections is 567 meV/atom. Its mass density is 2.83 g cm⁻³.

(4)
Density functional theory data (GGA-PBE) for a geometry-optimized MgP3NO9 structure.

Cell: 10.4124 10.4124 7.3771 Å, 90.00 90.00 120.00°
Space group R32 (No. 155, hexagonal axes)
One atom of each set of equivalent atoms:
Mg 0.0000 0.0000 0.0000 (multiplicity 3)
P 0.0000 0.4257 0.5000 (multiplicity 9)
N 0.0000 0.0000 0.5000 (multiplicity 3)
O 0.0000 0.3482 0.0000 (multiplicity 9)
O 0.0946 0.1906 0.8421 (multiplicity 18)

The value obtained for the formation energy without anion corrections is -1591 meV/atom. The energy above the lowest structure with this stoichiometry is 8 meV per atom. Its mass density is 1.98 g cm⁻³.

(5)
Density functional theory data (GGA-PBE) for a geometry-optimized MgPNO2 structure.

Cell: 3.662 3.662 5.813 Å, 90.00 90.00 90.00°
Space group P4/mmm (No. 123)
One atom of each set of equivalent atoms:
Mg 0.000 0.000 0.000 (multiplicity 1)
P 0.000 0.000 0.500 (multiplicity 1)
N 0.500 0.500 0.500 (multiplicity 1)
O 0.000 0.500 0.000 (multiplicity 2)

The value obtained for the formation energy without anion corrections is 856 meV/atom. Its mass density is 2.16 g cm⁻³.

(6)
Density functional theory data (GGA-PBE) for a geometry-optimized MgPNO2 structure.

Cell: 3.534 3.534 3.441 Å, 90.00 90.00 90.00°
Space group P4/mmm (No. 123)
One atom of each set of equivalent atoms:
Mg 0.000 0.000 0.000 (multiplicity 1)
P 0.500 0.500 0.500 (multiplicity 1)
N 0.500 0.500 0.000 (multiplicity 1)
O 0.000 0.500 0.500 (multiplicity 2)

The value obtained for the formation energy without anion corrections is -947 meV/atom. Its mass density is 3.91 g cm⁻³.